No. 1
Tb2Zn12Cu5 PBE-GGA optimized geometry; SG = R-3m, No. 166; DFT total energy = -2.605 eV/atom
1.0
6.649 0.133 0.703
0.647 6.619 0.703
0.143 0.133 6.685
Tb Zn Cu
2 12 5
Cartesian
4.941 4.573 5.375
2.498 2.312 2.717
2.387 4.738 0.703
4.763 0.133 2.438
0.289 2.013 4.951
4.909 2.013 0.703
2.030 0.133 4.951
0.501 4.738 2.438
2.653 2.455 6.185
2.907 5.733 3.162
5.941 2.455 3.162
4.532 1.152 4.929
4.786 4.429 1.907
1.499 4.429 4.929
0.072 0.066 3.343
0.323 3.310 0.352
3.325 0.066 0.352
6.689 6.190 7.276
0.750 0.694 0.816

No. 2
TbZn4Cu PBE-GGA optimized geometry; SG = F-43m, No. 216; E above lowest polymorph = 125 meV per atom
1.0
-4.787 0.210 2.131
-0.858 -2.092 4.732
-0.902 3.116 4.120
Zn Tb Cu
4 1 1
Cartesian
-3.642 -0.790 4.803
-3.664 1.820 4.496
-4.094 0.772 6.867
-1.695 0.666 5.800
-1.637 0.309 2.746
0.000 0.000 0.000

No. 3
Tb3Zn3Cu2 PBE-GGA optimized geometry; SG = Pnma, No. 62; E above lowest polymorph = 16 meV per atom
1.0
5.371 0.000 0.000
0.000 7.829 0.000
0.000 0.000 15.479
Tb Zn Cu
12 12 8
Cartesian
0.674 3.579 6.091
3.359 0.336 9.388
4.697 4.251 13.831
2.012 7.493 1.649
4.697 4.251 9.388
2.012 7.493 6.091
0.674 3.579 1.649
3.359 0.336 13.831
3.395 2.526 3.870
0.710 1.388 11.609
1.976 5.303 11.609
4.661 6.441 3.870
0.691 1.306 3.870
3.376 2.609 11.609
4.680 6.523 11.609
1.994 5.220 3.870
3.264 2.484 7.198
0.578 1.430 8.281
2.107 5.345 14.938
4.792 6.399 0.542
2.107 5.345 8.281
4.792 6.399 7.198
3.264 2.484 0.542
0.578 1.430 14.938
4.722 0.834 6.042
2.037 3.081 9.438
0.648 6.995 13.781
3.334 4.748 1.698
0.648 6.995 9.438
3.334 4.748 6.042
4.722 0.834 1.698
2.037 3.081 13.781

No. 4
TbZn2Cu10 PBE-GGA optimized geometry; SG = Fmmm, No. 69; DFT total energy = -3.807 eV/atom
1.0
4.310 0.000 2.295
2.155 5.975 1.147
-0.725 0.000 6.557
Tb Zn Cu
1 2 10
Cartesian
0.000 0.000 0.000
-0.362 0.000 3.278
1.793 0.000 4.426
4.594 2.155 6.958
1.147 3.820 3.041
3.302 2.155 4.188
2.439 3.820 5.811
3.233 2.988 1.721
1.078 2.988 0.574
3.680 4.644 3.480
2.061 1.331 6.520
4.216 4.644 7.667
1.524 1.331 2.332